A relaxed Tm8FeTe2 crystal. Source: Alexandria via LeMat-Bulk, functional GGA-PBE.

## Properties
Its density of states at the Fermi level is 8.92 states/eV/f.u. For the uncorrected formation energy, the calculation gives -0.34 eV/atom.

The structure in CIF format:
```
data_Tm8FeTe2
_cell_length_a 12.5790
_cell_length_b 7.0823
_cell_length_c 7.1289
_cell_angle_alpha 90.00
_cell_angle_beta 101.08
_cell_angle_gamma 90.00
_symmetry_space_group_name_H-M 'C 1 2/m 1'
_symmetry_Int_Tables_number 12
_symmetry_space_group_name_Hall '-C 2y'
loop_
_atom_site_label
_atom_site_type_symbol
_atom_site_fract_x
_atom_site_fract_y
_atom_site_fract_z
_atom_site_occupancy
Tm1 Tm 0.0476 0.0000 0.2785 1
Tm2 Tm 0.0946 0.5000 0.2095 1
Tm3 Tm 0.1586 0.2696 0.6518 1
Fe1 Fe 0.0000 0.5000 0.5000 1
Te1 Te 0.1940 0.0000 0.0028 1
```

A relaxed Al2TeS crystal. Source: Alexandria via LeMat-Bulk, functional GGA-PBE.

## Properties
Its density of states at the Fermi level is 1.52 states/eV/f.u. For the uncorrected formation energy, the calculation gives -0.21 eV/atom. The offset from the most stable computed form comes out at 0.000 eV per atom.

The structure in CIF format:
```
data_Al2TeS
_cell_length_a 6.9038
_cell_length_b 6.9038
_cell_length_c 7.7773
_cell_angle_alpha 90.00
_cell_angle_beta 90.00
_cell_angle_gamma 90.00
_symmetry_space_group_name_H-M 'I -4 2 d'
_symmetry_Int_Tables_number 122
_symmetry_space_group_name_Hall 'I -4 2bw'
loop_
_atom_site_label
_atom_site_type_symbol
_atom_site_fract_x
_atom_site_fract_y
_atom_site_fract_z
_atom_site_occupancy
Al1 Al 0.2106 0.2500 0.1250 1
Te1 Te 0.0000 0.0000 0.5000 1
S1 S 0.0000 0.0000 0.0000 1
```

A relaxed PmYCuTc crystal. Source: Alexandria via LeMat-Bulk, functional GGA-PBE.

## Properties
The formation energy is -15 meV/atom. Its density of states at the Fermi level is 4.04 states/eV/f.u.

The structure in CIF format:
```
data_PmYCuTc
_cell_length_a 6.9884
_cell_length_b 6.9884
_cell_length_c 6.9884
_cell_angle_alpha 90.00
_cell_angle_beta 90.00
_cell_angle_gamma 90.00
_symmetry_space_group_name_H-M 'F -4 3 m'
_symmetry_Int_Tables_number 216
_symmetry_space_group_name_Hall 'F -4 2 3'
loop_
_atom_site_label
_atom_site_type_symbol
_atom_site_fract_x
_atom_site_fract_y
_atom_site_fract_z
_atom_site_occupancy
Pm1 Pm 0.0000 0.0000 0.0000 1
Y1 Y 0.0000 0.0000 0.5000 1
Cu1 Cu 0.2500 0.2500 0.7500 1
Tc1 Tc 0.2500 0.2500 0.2500 1
```

A relaxed LuPu2Bi crystal. Source: Alexandria via LeMat-Bulk, functional GGA-PBE.

## Properties
The formation energy is 18 meV/atom. Its density of states at the Fermi level is 13.26 states/eV/f.u. The offset from the most stable computed form comes out at 0.251 eV per atom.

The structure in CIF format:
```
data_LuPu2Bi
_cell_length_a 7.6876
_cell_length_b 7.6876
_cell_length_c 7.6876
_cell_angle_alpha 90.00
_cell_angle_beta 90.00
_cell_angle_gamma 90.00
_symmetry_space_group_name_H-M 'F m -3 m'
_symmetry_Int_Tables_number 225
_symmetry_space_group_name_Hall '-F 4 2 3'
loop_
_atom_site_label
_atom_site_type_symbol
_atom_site_fract_x
_atom_site_fract_y
_atom_site_fract_z
_atom_site_occupancy
Lu1 Lu 0.0000 0.0000 0.0000 1
Pu1 Pu 0.2500 0.2500 0.2500 1
Bi1 Bi 0.0000 0.0000 0.5000 1
```

What did the third record say?
A relaxed PmYCuTc crystal. Source: Alexandria via LeMat-Bulk, functional GGA-PBE.

## Properties
The formation energy is -15 meV/atom. Its density of states at the Fermi level is 4.04 states/eV/f.u.

The structure in CIF format:
```
data_PmYCuTc
_cell_length_a 6.9884
_cell_length_b 6.9884
_cell_length_c 6.9884
_cell_angle_alpha 90.00
_cell_angle_beta 90.00
_cell_angle_gamma 90.00
_symmetry_space_group_name_H-M 'F -4 3 m'
_symmetry_Int_Tables_number 216
_symmetry_space_group_name_Hall 'F -4 2 3'
loop_
_atom_site_label
_atom_site_type_symbol
_atom_site_fract_x
_atom_site_fract_y
_atom_site_fract_z
_atom_site_occupancy
Pm1 Pm 0.0000 0.0000 0.0000 1
Y1 Y 0.0000 0.0000 0.5000 1
Cu1 Cu 0.2500 0.2500 0.7500 1
Tc1 Tc 0.2500 0.2500 0.2500 1
```